Entry 1:
The following is a PBE calculation of an optimized crystal structure of Nd2AlNi9, from Alexandria.

a b c (Å): 8.7271 8.7271 8.7271
angles (deg): 32.63 32.63 32.63
Last column: nearest neighbours and their distance in Å.
Element x y z (fractional)
Nd 0.1347 0.1347 0.1347  9 Ni 2.81-2.94
Nd 0.8653 0.8653 0.8653  9 Ni 2.81-2.94
Al 0.0000 0.0000 0.0000  18 Ni 2.83-3.14
Ni 0.0795 0.5789 0.5789  7 Ni 2.41-2.59
Ni 0.3329 0.3329 0.3329  6 Ni 2.41-2.43
Ni 0.4211 0.4211 0.9205  7 Ni 2.41-2.59
Ni 0.4211 0.9205 0.4211  7 Ni 2.41-2.59
Ni 0.5000 0.5000 0.5000  6 Ni 2.59
Ni 0.5789 0.0795 0.5789  7 Ni 2.41-2.59
Ni 0.5789 0.5789 0.0795  7 Ni 2.41-2.59
Ni 0.6671 0.6671 0.6671  6 Ni 2.41-2.43
Ni 0.9205 0.4211 0.4211  7 Ni 2.41-2.59

Output
**E_form**: -184 meV/atom
**Crystal system**: trigonal
**Volume**: 171.92 Å³ per cell
**Total moment**: 1.0 μB per cell

Entry 2:
The following is a PBE calculation of an optimized crystal structure of NdAl2Ni, from Alexandria.

a b c (Å): 4.1280 4.1280 16.2286
angles (deg): 90.00 90.00 120.00
Last column: nearest neighbours and their distance in Å.
Element x y z (fractional)
Nd 0.0000 0.0000 0.0000  8 Al 3.17-3.33
Nd 0.3333 0.6667 0.6667  8 Al 3.17-3.33
Nd 0.6667 0.3333 0.3333  8 Al 3.17-3.33
Al 0.0000 0.0000 0.2049  3 Ni 2.46, 3 Al 2.69
Al 0.0000 0.0000 0.7951  3 Ni 2.46, 3 Al 2.69
Al 0.3333 0.6667 0.4618  3 Ni 2.46, 3 Al 2.69
Al 0.3333 0.6667 0.8716  3 Ni 2.46, 3 Al 2.69
Al 0.6667 0.3333 0.1284  3 Ni 2.46, 3 Al 2.69
Al 0.6667 0.3333 0.5382  3 Ni 2.46, 3 Al 2.69
Ni 0.0000 0.0000 0.5000  6 Al 2.46
Ni 0.3333 0.6667 0.1667  6 Al 2.46
Ni 0.6667 0.3333 0.8333  6 Al 2.46

Output
**E_form**: -507 meV/atom
**Crystal system**: trigonal
**Volume**: 239.50 Å³ per cell
**Total moment**: 0.0 μB per cell

Entry 3:
The following is a PBE calculation of an optimized crystal structure of NdAl9Ni2, from Alexandria.

a b c (Å): 8.2517 8.2517 8.2517
angles (deg): 100.46 100.46 129.56
Last column: nearest neighbours and their distance in Å.
Element x y z (fractional)
Nd 0.3750 0.6250 0.7500  18 Al 3.31-3.52
Nd 0.6250 0.3750 0.2500  18 Al 3.31-3.52
Al 0.1250 0.8750 0.2500  4 Ni 2.78, 8 Al 2.80
Al 0.1373 0.5652 0.3262  2 Ni 2.53-2.60, 6 Al 2.60-2.82
Al 0.1373 0.8110 0.5721  2 Ni 2.53-2.60, 6 Al 2.60-2.82
Al 0.1890 0.2610 0.3262  2 Ni 2.53-2.60, 6 Al 2.60-2.82
Al 0.1890 0.8627 0.9279  2 Ni 2.53-2.60, 6 Al 2.60-2.82
Al 0.2610 0.1890 0.8262  2 Ni 2.53-2.60, 6 Al 2.60-2.82
Al 0.2610 0.4348 0.0721  2 Ni 2.53-2.60, 6 Al 2.60-2.82
Al 0.4348 0.2610 0.5721  2 Ni 2.53-2.60, 6 Al 2.60-2.82
Al 0.4348 0.8627 0.1738  2 Ni 2.53-2.60, 6 Al 2.60-2.82
Al 0.5652 0.1373 0.8262  2 Ni 2.53-2.60, 6 Al 2.60-2.82
Al 0.5652 0.7390 0.4279  2 Ni 2.53-2.60, 6 Al 2.60-2.82
Al 0.7390 0.5652 0.9279  2 Ni 2.53-2.60, 6 Al 2.60-2.82
Al 0.7390 0.8110 0.1738  2 Ni 2.53-2.60, 6 Al 2.60-2.82
Al 0.8110 0.1373 0.0721  2 Ni 2.53-2.60, 6 Al 2.60-2.82
Al 0.8110 0.7390 0.6738  2 Ni 2.53-2.60, 6 Al 2.60-2.82
Al 0.8627 0.1890 0.4279  2 Ni 2.53-2.60, 6 Al 2.60-2.82
Al 0.8627 0.4348 0.6738  2 Ni 2.53-2.60, 6 Al 2.60-2.82
Al 0.8750 0.1250 0.7500  4 Ni 2.78, 8 Al 2.80
Ni 0.0000 0.0000 0.0000  10 Al 2.53-2.78
Ni 0.0000 0.0000 0.5000  10 Al 2.53-2.78
Ni 0.0000 0.5000 0.0000  10 Al 2.53-2.78
Ni 0.5000 0.0000 0.5000  10 Al 2.53-2.78

Output
**E_form**: -366 meV/atom
**Crystal system**: tetragonal
**Volume**: 391.89 Å³ per cell
**Total moment**: 0.0 μB per cell

Entry 4:
The following is a PBE calculation of an optimized crystal structure of Nd3Al7Ni4, from Alexandria.

a b c (Å): 8.0016 8.0016 9.4401
angles (deg): 123.27 123.27 30.27
Last column: nearest neighbours and their distance in Å.
Element x y z (fractional)
Nd 0.0000 0.0000 0.0000  6 Ni 2.93-3.20
Nd 0.3087 0.3087 0.3035  4 Ni 3.01-3.05, 10 Al 3.06-3.24
Nd 0.6913 0.6913 0.6965  4 Ni 3.01-3.05, 10 Al 3.06-3.24
Al 0.0000 0.0000 0.5000  2 Ni 2.64, 6 Al 2.91-2.93
Al 0.1573 0.1573 0.4227  3 Ni 2.49-2.57
Al 0.3189 0.3189 0.9787  4 Ni 2.52-2.66, 1 Al 2.70
Al 0.4938 0.4938 0.7123  3 Ni 2.43-2.60, 1 Al 2.70
Al 0.5062 0.5062 0.2877  3 Ni 2.43-2.60, 1 Al 2.70
Al 0.6811 0.6811 0.0213  4 Ni 2.52-2.66, 1 Al 2.70
Al 0.8427 0.8427 0.5773  3 Ni 2.49-2.57
Ni 0.1158 0.1158 0.8393  6 Al 2.52-2.64
Ni 0.3371 0.3371 0.7146  5 Al 2.43-2.66
Ni 0.6629 0.6629 0.2854  5 Al 2.43-2.66
Ni 0.8842 0.8842 0.1607  6 Al 2.52-2.64

Output
**E_form**: -541 meV/atom
**Crystal system**: monoclinic
**Volume**: 250.65 Å³ per cell
**Total moment**: 0.0 μB per cell

Entry 5:
The following is a PBE calculation of an optimized crystal structure of Nd2AlNi7, from Alexandria.

a b c (Å): 3.8567 3.8567 10.5057
angles (deg): 90.00 90.00 90.00
Last column: nearest neighbours and their distance in Å.
Element x y z (fractional)
Nd 0.0000 0.5000 0.2342  12 Ni 2.91-3.13
Nd 0.5000 0.0000 0.7658  12 Ni 2.91-3.13
Al 0.0000 0.0000 0.5000  4 Ni 2.42
Ni 0.0000 0.0000 0.0000  4 Ni 2.41
Ni 0.0000 0.5000 0.6391  3 Ni 2.35-2.42, 2 Al 2.42
Ni 0.0000 0.5000 0.8626  5 Ni 2.35-2.41
Ni 0.5000 0.0000 0.1374  5 Ni 2.35-2.41
Ni 0.5000 0.0000 0.3609  3 Ni 2.35-2.42, 2 Al 2.42
Ni 0.5000 0.5000 0.0000  4 Ni 2.41
Ni 0.5000 0.5000 0.5000  4 Ni 2.42

Output
**E_form**: -269 meV/atom
**Crystal system**: tetragonal
**Volume**: 156.26 Å³ per cell
**Total moment**: 0.0 μB per cell

Entry 6:
The following is a PBE calculation of an optimized crystal structure of Nd2Al5Ni4, from Alexandria.

a b c (Å): 8.9117 8.0572 5.3734
angles (deg): 80.45 63.07 36.48
Last column: nearest neighbours and their distance in Å.
Element x y z (fractional)
Nd 0.1339 0.1339 0.8661  6 Ni 3.05-3.20, 10 Al 3.21-3.37
Nd 0.8661 0.8661 0.1339  6 Ni 3.05-3.20, 10 Al 3.21-3.37
Al 0.0000 0.0000 0.5000  4 Ni 2.55, 4 Al 2.68-2.69
Al 0.2500 0.2500 0.2500  4 Ni 2.42, 2 Al 2.68
Al 0.5000 0.5000 0.0000  4 Ni 2.55, 4 Al 2.68-2.69
Al 0.5000 0.5000 0.5000  4 Ni 2.46, 4 Al 2.69
Al 0.7500 0.7500 0.7500  4 Ni 2.42, 2 Al 2.68
Ni 0.2133 0.5259 0.4741  5 Al 2.42-2.55
Ni 0.4741 0.7867 0.2133  5 Al 2.42-2.55
Ni 0.5259 0.2133 0.7867  5 Al 2.42-2.55
Ni 0.7867 0.4741 0.5259  5 Al 2.42-2.55

Output
**E_form**: -546 meV/atom
**Crystal system**: orthorhombic
**Volume**: 189.71 Å³ per cell
**Total moment**: 0.0 μB per cell

Entry 7:
The following is a PBE calculation of an optimized crystal structure of NdAl2Ni6, from Alexandria.

a b c (Å): 6.9078 6.9078 6.9078
angles (deg): 149.78 125.88 63.25
Last column: nearest neighbours and their distance in Å.
Element x y z (fractional)
Nd 0.0000 0.0000 0.0000  4 Ni 2.72
Al 0.3703 0.8703 0.5000  10 Ni 2.48-2.69
Al 0.6297 0.1297 0.5000  10 Ni 2.48-2.69
Ni 0.0138 0.3099 0.7039  4 Ni 2.36-2.56, 1 Al 2.48
Ni 0.3254 0.5000 0.8254  3 Ni 2.19-2.36
Ni 0.3940 0.6901 0.7039  4 Ni 2.36-2.56, 1 Al 2.48
Ni 0.6060 0.3099 0.2961  4 Ni 2.36-2.56, 1 Al 2.48
Ni 0.6746 0.5000 0.1746  3 Ni 2.19-2.36
Ni 0.9862 0.6901 0.2961  4 Ni 2.36-2.56, 1 Al 2.48

Output
**E_form**: -152 meV/atom
**Crystal system**: orthorhombic
**Volume**: 133.14 Å³ per cell
**Total moment**: 0.0 μB per cell

Entry 8:
The following is a PBE calculation of an optimized crystal structure of NdAlNi4, from Alexandria.

a b c (Å): 5.1429 5.1429 3.8767
angles (deg): 90.00 90.00 120.00
Last column: nearest neighbours and their distance in Å.
Element x y z (fractional)
Nd 0.0000 0.0000 0.0000  15 Ni 2.97-3.22, 3 Al 2.97
Al 0.3333 0.6667 0.0000  6 Ni 2.45
Ni 0.5022 0.0044 0.5000  6 Ni 2.43-2.61, 2 Al 2.45
Ni 0.5022 0.4978 0.5000  6 Ni 2.43-2.61, 2 Al 2.45
Ni 0.6667 0.3333 0.0000  6 Ni 2.43
Ni 0.9956 0.4978 0.5000  6 Ni 2.43-2.61, 2 Al 2.45

Output
**E_form**: -421 meV/atom
**Crystal system**: hexagonal
**Volume**: 88.80 Å³ per cell
**Total moment**: 0.0 μB per cell

Entry 9:
The following is a PBE calculation of an optimized crystal structure of Nd2AlNi3, from Alexandria.

a b c (Å): 8.2639 8.1305 5.7665
angles (deg): 70.65 68.17 41.18
Last column: nearest neighbours and their distance in Å.
Element x y z (fractional)
Nd 0.2410 0.7590 0.7590  10 Ni 3.03-3.15, 2 Al 3.12
Nd 0.2500 0.2500 0.2500  8 Ni 3.08-3.12, 4 Al 3.12
Nd 0.7500 0.7500 0.7500  8 Ni 3.08-3.12, 4 Al 3.12
Nd 0.7590 0.2410 0.2410  10 Ni 3.03-3.15, 2 Al 3.12
Al 0.3337 0.3337 0.6663  3 Ni 2.39
Al 0.6663 0.6663 0.3337  3 Ni 2.39
Ni 0.1655 0.1655 0.8345  1 Al 2.39, 2 Ni 2.42
Ni 0.1681 0.6640 0.3360  2 Ni 2.39-2.42, 1 Al 2.39
Ni 0.3360 0.8319 0.1681  2 Ni 2.39-2.42, 1 Al 2.39
Ni 0.6640 0.1681 0.8319  2 Ni 2.39-2.42, 1 Al 2.39
Ni 0.8319 0.3360 0.6640  2 Ni 2.39-2.42, 1 Al 2.39
Ni 0.8345 0.8345 0.1655  1 Al 2.39, 2 Ni 2.42

Output
**E_form**: -347 meV/atom
**Crystal system**: orthorhombic
**Volume**: 235.96 Å³ per cell
**Total moment**: 0.0 μB per cell

Entry 10:
The following is a PBE calculation of an optimized crystal structure of NdAl3Ni, from Alexandria.

a b c (Å): 4.5836 4.5836 4.5836
angles (deg): 90.00 90.00 90.00
Last column: nearest neighbours and their distance in Å.
Element x y z (fractional)
Nd 0.0000 0.0000 0.0000  12 Al 3.24
Al 0.0000 0.5000 0.5000  2 Ni 2.29
Al 0.5000 0.0000 0.5000  2 Ni 2.29
Al 0.5000 0.5000 0.0000  2 Ni 2.29
Ni 0.5000 0.5000 0.5000  6 Al 2.29

Output
**E_form**: -373 meV/atom
**Crystal system**: cubic
**Volume**: 96.30 Å³ per cell
**Total moment**: 0.0 μB per cell
**Polymorph energy (0 for the lowest one)**: 1.01 eV/f.u.

Q: Look up the volume of the fifth one.
A: 156.26 Å³ per cell